## MgTi3Pt (PBE)

Data for a geometry-optimized MgTi3Pt structure.

**Relative energy among the computed polymorphs**: 918.2 meV/atom
**Energy of formation**: 1218.6 meV/atom
**Crystal system**: cubic

a = 4.619 Å, b = 4.619 Å, c = 4.619 Å
α = 90.00°, β = 90.00°, γ = 90.00°
Space group Pm-3m (No. 221)
Asymmetric unit:
Mg1 0.000 0.000 0.000 x1
Ti1 0.000 0.000 0.500 x3
Pt1 0.500 0.500 0.500 x1



## U2MnCrS6 (PBE)

Data for a geometry-optimized U2MnCrS6 structure.

**Crystal system**: trigonal
**Calculated total energy**: -7.5888 eV per atom

a = 6.5517 Å, b = 6.5517 Å, c = 17.8637 Å
α = 90.00°, β = 90.00°, γ = 120.00°
Space group R3 (No. 146, hexagonal axes)
Asymmetric unit:
U1 0.0000 0.0000 0.0000 x3
U2 0.0000 0.0000 0.4955 x3
Mn1 0.0000 0.0000 0.1934 x3
Cr1 0.0000 0.0000 0.6882 x3
S1 0.0434 0.3356 0.7652 x9
S2 0.0453 0.6982 0.2657 x9



no.,M_tot (μB per atom)
1,0.000
2,1.301